This record from Alexandria describes crystalline SrInTeN2 at its relaxed geometry. The functional is PBE-GGA.

Values from the calculation:
DOS(E_F) = 2.36 states/eV/f.u.
Relative energy among the computed polymorphs = 0.489 eV/atom
Uncorrected formation energy = 536 kJ/mol of formula units

Cell lengths 4.8976, 4.8976, 6.7411 Å; angles 90.00, 90.00, 90.00 degrees
Element x y z (fractional)
1 Sr 0.0000 0.0000 0.0000
2 In 0.5000 0.5000 0.5000
3 Te 0.0000 0.0000 0.5000
4 N 0.0000 0.5000 0.0000
5 N 0.5000 0.0000 0.0000